{
  "formula": "K4Ce3NiO8",
  "functional": "GGA+U",
  "state": "optimized geometry",
  "spacegroup": "No. 12",
  "total_energy_ev_per_cell": -101.44,
  "rho_g_cm3": 4.637,
  "lattice": [[-0.997, 1.952, -6.609], [6.151, -3.529, -1.970], [-5.135, -3.804, 3.319]],
  "species": ["K", "K", "K", "K", "Ce", "Ce", "Ce", "Ni", "O", "O", "O", "O", "O", "O", "O", "O"],
  "frac_coords": [[0.500, 0.000, 0.000], [0.500, 0.000, 0.500], [0.000, 0.000, 0.000], [0.000, 0.000, 0.500], [0.500, 0.500, 0.000], [0.500, 0.500, 0.500], [0.000, 0.500, 0.500], [0.000, 0.500, 0.000], [0.223, 0.676, 0.938], [0.263, 0.708, 0.526], [0.273, 0.307, 0.547], [0.715, 0.676, 0.938], [0.285, 0.324, 0.062], [0.727, 0.693, 0.453], [0.737, 0.292, 0.474], [0.777, 0.324, 0.062]]
}